# SrGaOF2

An optimized crystal structure of SrGaOF2 (GGA-PBE, the Alexandria database).

CIF file:
```
data_SrGaOF2
_space_group_name_H-M_alt 'P 1'
_space_group_IT_number 1
_cell_length_a 4.687
_cell_length_b 4.687
_cell_length_c 4.802
_cell_angle_alpha 90.00
_cell_angle_beta 90.00
_cell_angle_gamma 90.00
loop_
_space_group_symop_operation_xyz
'x,y,z'
loop_
_atom_site_label
_atom_site_fract_x
_atom_site_fract_y
_atom_site_fract_z
_atom_site_occupancy
Sr1 0.000 0.000 0.000 1
O1 0.000 0.000 0.500 1
Ga1 0.500 0.500 0.500 1
F1 0.000 0.500 0.000 1
F2 0.500 0.000 0.000 1
```

Fermi-level density of states: 3.10 states/eV per cell
Total energy: -4.612 eV per atom
Space-group type: No. 123
Volume: 21.1 A^3/atom
Offset from the most stable computed form: 222 kJ/mol of formula units
Crystal system: tetragonal